DFT (PBE-GGA) results for crystalline Y2TlPb at its relaxed geometry.

Geometry as CIF:
```
data_Y2TlPb
_chemical_formula_sum 'Y8 Tl4 Pb4'
_cell_length_a 6.348
_cell_length_b 6.346
_cell_length_c 12.009
_cell_angle_alpha 105.83
_cell_angle_beta 90.00
_cell_angle_gamma 90.00
_symmetry_space_group_name_H-M 'P 1'
_symmetry_Int_Tables_number 1
_symmetry_space_group_name_Hall 'P 1'
loop_
_atom_site_label
_atom_site_fract_x
_atom_site_fract_y
_atom_site_fract_z
Tl1 0.878 0.568 0.405
Tl2 0.122 0.432 0.595
Tl3 0.122 0.068 0.905
Tl4 0.878 0.932 0.095
Pb1 0.367 0.083 0.404
Pb2 0.633 0.583 0.904
Pb3 0.633 0.917 0.596
Pb4 0.367 0.417 0.096
Y1 0.376 0.937 0.132
Y2 0.129 0.548 0.865
Y3 0.624 0.063 0.868
Y4 0.376 0.563 0.368
Y5 0.129 0.952 0.635
Y6 0.871 0.452 0.135
Y7 0.624 0.437 0.632
Y8 0.871 0.048 0.365
```

Properties
The calculation puts the density of states at the Fermi level at 12.2 states/eV per cell. The calculation puts the formation energy at -0.445 eV per atom.


DFT (PBE-GGA) results for crystalline LaMg3In at its relaxed geometry.

Geometry as CIF:
```
data_LaMg3In
_chemical_formula_sum 'La1 Mg3 In1'
_cell_length_a 6.132
_cell_length_b 6.132
_cell_length_c 6.132
_cell_angle_alpha 90.00
_cell_angle_beta 90.00
_cell_angle_gamma 90.00
_symmetry_space_group_name_H-M 'P 1'
_symmetry_Int_Tables_number 1
_symmetry_space_group_name_Hall 'P 1'
loop_
_atom_site_label
_atom_site_fract_x
_atom_site_fract_y
_atom_site_fract_z
In1 0.500 0.500 0.500
Mg1 0.500 0.000 0.000
Mg2 0.000 0.000 0.500
Mg3 0.000 0.500 0.000
La1 0.000 0.000 0.000
```

Properties
The calculation puts the density of states at the Fermi level at 7.5 states/eV per cell. The value obtained for the energy above the most stable polymorph in this dataset is 806 meV per atom. The calculation puts the formation energy at 1.024 eV per atom.


DFT (PBE-GGA) results for crystalline KRb2TaCl8 at its relaxed geometry.

Geometry as CIF:
```
data_KRb2TaCl8
_chemical_formula_sum 'K1 Rb2 Ta1 Cl8'
_cell_length_a 7.303
_cell_length_b 6.781
_cell_length_c 9.744
_cell_angle_alpha 90.31
_cell_angle_beta 89.69
_cell_angle_gamma 90.68
_symmetry_space_group_name_H-M 'P 1'
_symmetry_Int_Tables_number 1
_symmetry_space_group_name_Hall 'P 1'
loop_
_atom_site_label
_atom_site_fract_x
_atom_site_fract_y
_atom_site_fract_z
Cl1 0.875 0.203 0.175
Cl2 0.272 0.197 0.000
Cl3 0.125 0.797 0.825
Cl4 0.698 0.715 0.500
Cl5 0.728 0.803 0.000
Cl6 0.127 0.794 0.170
Cl7 0.873 0.206 0.830
Cl8 0.302 0.285 0.500
Rb1 0.500 0.501 0.737
Rb2 0.500 0.499 0.263
Ta1 0.000 0.000 0.000
K1 0.000 0.000 0.500
```

Properties
For the formation energy (no corrections), the calculation gives -1.6130 eV per atom.


| no. | calculated volume (Å³ per atom) |
| --- | --- |
| 1 | 29.1 |
| 2 | 46.1 |
| 3 | 40.2 |